[1]
Al2TlFe at its PBEsol-relaxed geometry, computed with meta-GGA SCAN.

The structure in extended XYZ format:
```
4
Lattice="4.531 0.000 0.000 2.265 3.924 0.000 2.265 1.308 3.699" Properties=species:S:1:pos:R:3 pbc="T T T"
Tl 4.531 2.616 1.850
Fe 0.000 0.000 0.000
Al 2.265 1.308 0.925
Al 6.796 3.924 2.774
```

Values from the calculation:
Calculated density: 7.93 g/cm3
Space-group type: Fm-3m (225)
Total magnetization: 0.532 μB/atom
DFT total energy: -104.5 eV/f.u.

[2]
AlTlFe2 at its PBEsol-relaxed geometry, computed with meta-GGA SCAN.

The structure in extended XYZ format:
```
4
Lattice="-3.008 0.649 -2.393 2.221 -0.970 -3.056 -0.683 -3.466 3.093" Properties=species:S:1:pos:R:3 pbc="T T T"
Tl -1.504 0.325 -1.196
Fe -0.931 -1.973 -2.540
Fe -0.538 -1.814 0.185
Al 1.111 -0.485 -1.528
```

Values from the calculation:
Calculated density: 9.86 g/cm3
Space-group type: I4/mmm (139)
Total magnetization: 1.283 μB/atom
DFT total energy: -115.3 eV/f.u.

[3]
AlTlFe2 at its PBEsol-relaxed geometry, computed with meta-GGA SCAN.

The structure in extended XYZ format:
```
4
Lattice="3.169 0.000 0.000 0.000 4.247 -0.187 -1.585 -1.998 4.446" Properties=species:S:1:pos:R:3 pbc="T T T"
Tl 0.000 0.131 4.254
Fe 0.000 0.015 0.170
Fe 1.585 0.051 1.970
Al 0.000 2.177 2.217
```

Values from the calculation:
Calculated density: 9.71 g/cm3
Space-group type: Cm (8)
Total magnetization: 1.218 μB/atom
DFT total energy: -115.4 eV/f.u.

[4]
AlTlFe at its PBEsol-relaxed geometry, computed with meta-GGA SCAN.

The structure in extended XYZ format:
```
3
Lattice="3.270 0.000 0.000 0.000 4.134 0.000 0.000 -2.067 3.580" Properties=species:S:1:pos:R:3 pbc="T T T"
Tl 1.090 2.067 1.193
Fe 2.724 0.000 2.387
Al 2.726 0.000 0.000
```

Values from the calculation:
Calculated density: 9.86 g/cm3
Space-group type: P-6m2 (187)
Total magnetization: 0.001 μB/atom
DFT total energy: -96.4 eV/f.u.

[5]
Al4TlFe at its PBEsol-relaxed geometry, computed with meta-GGA SCAN.

The structure in extended XYZ format:
```
6
Lattice="-1.185 -4.742 -2.000 -1.349 -3.963 3.221 -4.986 -1.738 0.103" Properties=species:S:1:pos:R:3 pbc="T T T"
Tl 0.000 0.000 0.000
Fe -5.641 -7.832 0.993
Al -2.827 -3.926 0.498
Al -5.302 -4.789 0.549
Al -3.416 -6.280 -0.495
Al -3.497 -5.893 2.097
```

Values from the calculation:
Calculated density: 5.87 g/cm3
Space-group type: F-43m (216)
Total magnetization: 0.443 μB/atom
DFT total energy: -119.3 eV/f.u.

[6]
TmAl6Fe6 at its PBEsol-relaxed geometry, computed with meta-GGA SCAN.

The structure in extended XYZ format:
```
13
Lattice="-1.813 -1.499 -4.311 2.131 -5.856 -1.658 -5.491 -3.316 0.665" Properties=species:S:1:pos:R:3 pbc="T T T"
Tm 0.000 0.000 0.000
Al -2.825 -6.520 -2.139
Al -2.348 -4.151 -3.164
Al -2.928 -4.170 -0.116
Al -0.432 -5.002 -0.877
Al -1.199 -2.202 -1.527
Al -3.974 -8.468 -3.776
Fe 1.065 -2.928 -0.829
Fe 0.159 -3.677 -2.984
Fe -2.745 -1.658 0.332
Fe -3.652 -2.407 -1.823
Fe -0.602 -5.997 -3.257
Fe -4.571 -4.674 -2.047
```

Values from the calculation:
Calculated density: 6.33 g/cm3
Space-group type: Immm (71)
Total magnetization: 0.859 μB/atom
DFT total energy: -212.9 eV/f.u.

[7]
Tm2Al2Fe15 at its PBEsol-relaxed geometry, computed with meta-GGA SCAN.

The structure in extended XYZ format:
```
38
Lattice="-6.630 -4.393 -1.731 2.597 0.590 7.692 -4.696 6.665 1.075" Properties=species:S:1:pos:R:3 pbc="T T T"
Tm -1.174 1.666 0.269
Tm -3.522 4.998 0.806
Tm -4.001 3.927 5.357
Tm -4.729 -1.066 1.679
Al -0.949 -0.404 4.659
Al -7.781 3.265 2.377
Al -6.373 1.268 2.055
Al -2.356 1.594 4.981
Fe -2.016 -1.902 2.980
Fe 1.299 0.295 3.846
Fe -3.315 -2.197 -0.866
Fe -4.365 1.431 3.518
Fe -1.049 3.627 4.383
Fe -5.663 1.136 -0.328
Fe -3.656 -0.735 4.317
Fe -0.449 1.735 3.007
Fe -0.853 0.785 7.135
Fe -2.421 0.429 2.492
Fe -2.883 -0.560 6.605
Fe 0.346 1.916 5.362
Fe -5.074 3.597 2.718
Fe -8.280 1.126 4.029
Fe -7.876 2.076 -0.099
Fe -6.309 2.432 4.543
Fe -5.846 3.421 0.431
Fe -9.076 0.945 1.673
Fe -3.563 6.352 7.200
Fe -6.915 4.132 6.325
Fe -4.876 6.054 3.312
Fe -5.166 -3.491 -0.165
Fe -1.815 -1.271 0.710
Fe -3.853 -3.193 3.723
Fe -7.400 -0.320 0.347
Fe -4.049 1.900 1.222
Fe -6.088 -0.022 4.234
Fe -1.329 3.181 6.689
Fe -4.680 0.961 5.814
Fe -2.642 2.883 2.801
```

Values from the calculation:
Calculated density: 8.65 g/cm3
Space-group type: P6_3/mmc (194)
Total magnetization: 1.731 μB/atom
DFT total energy: -392.1 eV/f.u.

[8]
AlFeW3 at its PBEsol-relaxed geometry, computed with meta-GGA SCAN.

The structure in extended XYZ format:
```
5
Lattice="4.455 0.000 0.000 0.000 4.455 0.000 0.000 0.000 4.455" Properties=species:S:1:pos:R:3 pbc="T T T"
Fe 2.228 2.228 2.228
W 0.000 2.228 0.000
W 0.000 0.000 2.228
W 2.228 0.000 0.000
Al 0.000 0.000 0.000
```

Values from the calculation:
Calculated density: 11.91 g/cm3
Space-group type: Pm-3m (221)
Total magnetization: 0.515 μB/atom
ΔE to the lowest computed polymorph: 749 meV/atom
DFT total energy: -224.4 eV/f.u.

[9]
AlFeW3 at its PBEsol-relaxed geometry, computed with meta-GGA SCAN.

The structure in extended XYZ format:
```
5
Lattice="-3.269 -0.402 2.937 -0.908 -4.026 -1.561 2.822 -1.760 2.900" Properties=species:S:1:pos:R:3 pbc="T T T"
Fe 0.000 0.000 0.000
W -0.454 -2.013 -0.781
W 1.411 -0.880 1.450
W -1.634 -0.201 1.468
Al -0.677 -3.094 2.138
```

Values from the calculation:
Calculated density: 12.26 g/cm3
Space-group type: Pm-3m (221)
Total magnetization: 0.000 μB/atom
ΔE to the lowest computed polymorph: 0 meV/atom
DFT total energy: -228.1 eV/f.u.

[10]
AlFe3W at its PBEsol-relaxed geometry, computed with meta-GGA SCAN.

The structure in extended XYZ format:
```
5
Lattice="4.378 0.000 0.000 0.000 4.378 0.000 0.000 0.000 4.378" Properties=species:S:1:pos:R:3 pbc="T T T"
Fe 0.000 2.189 0.000
Fe 0.000 0.000 2.189
Fe 2.189 0.000 0.000
W 0.000 0.000 0.000
Al 2.189 2.189 2.189
```

Values from the calculation:
Calculated density: 7.49 g/cm3
Space-group type: Pm-3m (221)
Total magnetization: 1.100 μB/atom
DFT total energy: -123.7 eV/f.u.

[11]
YAlFe2 at its PBEsol-relaxed geometry, computed with meta-GGA SCAN.

The structure in extended XYZ format:
```
4
Lattice="4.025 0.000 0.000 0.000 4.025 0.000 -2.012 -2.012 3.893" Properties=species:S:1:pos:R:3 pbc="T T T"
Y 2.012 2.012 0.000
Fe 0.000 0.000 0.000
Fe 2.012 0.000 1.946
Al 0.000 2.012 1.946
```

Values from the calculation:
Calculated density: 5.99 g/cm3
Space-group type: I-4m2 (119)
Total magnetization: 1.115 μB/atom
DFT total energy: -71.4 eV/f.u.

[12]
YAl4Fe8 at its PBEsol-relaxed geometry, computed with meta-GGA SCAN.

The structure in extended XYZ format:
```
13
Lattice="-1.217 3.011 3.590 -2.626 -3.063 4.943 4.737 0.802 4.198" Properties=species:S:1:pos:R:3 pbc="T T T"
Y 0.000 0.000 0.000
Al -0.068 1.191 5.506
Al 0.962 -0.441 7.225
Al 2.195 -0.533 4.455
Al -0.084 -1.729 4.686
Fe -1.313 -1.532 2.471
Fe -1.922 -0.026 4.266
Fe 1.760 1.906 3.894
Fe 2.369 0.401 2.099
Fe 0.740 0.452 9.664
Fe 0.154 0.298 3.066
Fe -1.548 -0.672 6.567
Fe 2.442 1.422 6.164
```

Values from the calculation:
Calculated density: 6.33 g/cm3
Space-group type: I4/mmm (139)
Total magnetization: 1.320 μB/atom
DFT total energy: -207.1 eV/f.u.